one | A relaxed structure of Pm2Dy3Er2. Source: the Alexandria database, functional PBE-GGA.

Cell: 3.5602 11.8216 6.1535 Å, 69.79 73.16 98.62°
Fractional coordinates of all 7 atoms:
Pm1 0.8594 0.1446 0.4260
Pm2 0.1406 0.8554 0.5740
Dy1 0.0000 0.0000 0.0000
Dy2 0.5722 0.4298 0.2852
Dy3 0.4278 0.5702 0.7148
Er1 0.7172 0.2879 0.8537
Er2 0.2828 0.7121 0.1463

Fermi-level density of states in states/eV/cell: 8.99
Mass density in g cm⁻³: 8.3
Crystal system: monoclinic

***

two | A relaxed structure of Pm2Dy3Er2. Source: the Alexandria database, functional PBE-GGA.

Cell: 3.5021 8.5226 8.9174 Å, 118.58 101.32 90.00°
Fractional coordinates of all 7 atoms:
Pm1 0.5665 0.9123 0.1329
Pm2 0.4335 0.0877 0.8671
Dy1 0.0000 0.5000 0.0000
Dy2 0.2115 0.7986 0.4231
Dy3 0.7885 0.2014 0.5769
Er1 0.8503 0.6669 0.7005
Er2 0.1497 0.3331 0.2995

Fermi-level density of states in states/eV/cell: 10.55
Mass density in g cm⁻³: 8.1
Crystal system: monoclinic

***

How do the structures above rank in stability at the extremes? one comes first and two comes last.